First-principles (PBE) data for an optimized crystal structure of KH4Br2N, as listed in the Alexandria database.

The density of states at the Fermi level comes out at 0.00 states/eV/cell.

The structure belongs to space group Fddd (No. 70, origin choice 2); the cell edges are 9.509, 9.540 and 13.807 Å and the angles 90.00°, 90.00° and 90.00°. Symmetry generates all atoms from K at (0.125, 0.125, 0.125), H at (0.061, 0.062, 0.583), Br at (0.125, 0.125, 0.376) and N at (0.125, 0.125, 0.625).

First-principles (PBE) data for an optimized crystal structure of KNa2HBr, as listed in the Alexandria database.

The density of states at the Fermi level comes out at 2.03 states/eV/cell.

The structure belongs to space group P4/mmm (No. 123); the cell edges are 4.741, 4.741 and 6.349 Å and the angles 90.00°, 90.00° and 90.00°. Symmetry generates all atoms from K at (0.000, 0.000, 0.000), Na at (0.000, 0.500, 0.500), H at (0.000, 0.000, 0.500) and Br at (0.500, 0.500, 0.000).

First-principles (PBE) data for an optimized crystal structure of K2NbHBr, as listed in the Alexandria database.

The density of states at the Fermi level comes out at 4.57 states/eV/cell.

The structure belongs to space group P4/mmm (No. 123); the cell edges are 6.874, 6.874 and 5.157 Å and the angles 90.00°, 90.00° and 90.00°. Symmetry generates all atoms from K at (0.000, 0.500, 0.000), Nb at (0.000, 0.000, 0.000), H at (0.500, 0.500, 0.500) and Br at (0.000, 0.000, 0.500).

First-principles (PBE) data for an optimized crystal structure of KNb2HBr, as listed in the Alexandria database.

The density of states at the Fermi level comes out at 7.34 states/eV/cell.

The structure belongs to space group P4/mmm (No. 123); the cell edges are 4.017, 4.017 and 7.496 Å and the angles 90.00°, 90.00° and 90.00°. Symmetry generates all atoms from K at (0.000, 0.000, 0.000), Nb at (0.000, 0.500, 0.500), H at (0.000, 0.000, 0.500) and Br at (0.500, 0.500, 0.000).

First-principles (PBE) data for an optimized crystal structure of KH2BrO, as listed in the Alexandria database.

The density of states at the Fermi level comes out at 0.00 states/eV/cell.

The structure belongs to space group Cmcm (No. 63); the cell edges are 4.156, 12.017 and 7.079 Å and the angles 90.00°, 90.00° and 90.00°. Symmetry generates all atoms from K at (0.000, 0.109, 0.250), H at (0.000, 0.434, 0.078), Br at (0.000, 0.175, 0.750) and O at (0.000, 0.500, 0.000).

First-principles (PBE) data for an optimized crystal structure of K2HBrO, as listed in the Alexandria database.

The density of states at the Fermi level comes out at 0.00 states/eV/cell. Its distance to the lowest polymorph of the same formula is 22 meV/atom.

The structure belongs to space group P4mm (No. 99); the cell edges are 5.363, 5.363 and 4.404 Å and the angles 90.00°, 90.00° and 90.00°. Symmetry generates all atoms from K at (0.000, 0.500, 0.000), H at (0.000, 0.000, 0.690), Br at (0.500, 0.500, 0.486) and O at (0.000, 0.000, 0.912).

First-principles (PBE) data for an optimized crystal structure of K2HBrO, as listed in the Alexandria database.

The density of states at the Fermi level comes out at 0.00 states/eV/cell. Its distance to the lowest polymorph of the same formula is 0 meV/atom.

The structure belongs to space group P2_1/m (No. 11); the cell edges are 6.854, 4.299 and 8.608 Å and the angles 90.00°, 108.27° and 90.00°. Symmetry generates all atoms from K at (0.205, 0.250, 0.383), K at (0.207, 0.250, 0.964), H at (0.336, 0.750, 0.211), Br at (0.320, 0.750, 0.700) and O at (0.186, 0.750, 0.173).

First-principles (PBE) data for an optimized crystal structure of KZnH4Br3O2, as listed in the Alexandria database.

The density of states at the Fermi level comes out at 0.00 states/eV/cell.

The structure belongs to space group P2_1/c (No. 14); the cell edges are 6.804, 12.716 and 11.401 Å and the angles 90.00°, 117.55° and 90.00°. Symmetry generates all atoms from K at (0.230, 0.166, 0.492), Zn at (0.500, 0.072, 0.236), H at (0.002, 0.645, 0.720), H at (0.155, 0.646, 0.652), H at (0.277, 0.730, 0.302), H at (0.383, 0.656, 0.433), Br at (0.114, 0.104, 0.163), Br at (0.274, 0.601, 0.030), Br at (0.430, 0.101, 0.826), O at (0.083, 0.693, 0.689) and O at (0.409, 0.685, 0.361).

First-principles (PBE) data for an optimized crystal structure of KH2OsBr8, as listed in the Alexandria database.

The structure belongs to space group P-1 (No. 2); the cell edges are 6.978, 7.194 and 9.178 Å and the angles 74.02°, 82.90° and 77.05°. Symmetry generates all atoms from K at (0.000, 0.000, 0.000), H at (0.398, 0.742, 0.268), Os at (0.000, 0.000, 0.500), Br at (0.087, 0.225, 0.253), Br at (0.111, 0.211, 0.633), Br at (0.340, 0.796, 0.500) and Br at (0.444, 0.708, 0.115).

First-principles (PBE) data for an optimized crystal structure of K2HPbBr5, as listed in the Alexandria database.

The density of states at the Fermi level comes out at 0.00 states/eV/cell.

The structure belongs to space group Cmc2_1 (No. 36); the cell edges are 4.561, 19.466 and 13.555 Å and the angles 90.00°, 90.00° and 90.00°. Symmetry generates all atoms from K at (0.000, 0.124, 0.000), K at (0.000, 0.140, 0.668), H at (0.000, 0.484, 0.706), Pb at (0.000, 0.173, 0.337), Br at (0.000, 0.023, 0.341), Br at (0.000, 0.310, 0.991), Br at (0.000, 0.317, 0.680), Br at (0.000, 0.334, 0.337) and Br at (0.000, 0.492, 0.104).

First-principles (PBE) data for an optimized crystal structure of KHPdBr2, as listed in the Alexandria database.

The density of states at the Fermi level comes out at 2.41 states/eV/cell.

The structure belongs to space group P4/mmm (No. 123); the cell edges are 5.391, 5.391 and 3.687 Å and the angles 90.00°, 90.00° and 90.00°. Symmetry generates all atoms from K at (0.000, 0.000, 0.000), H at (0.500, 0.500, 0.000), Pd at (0.500, 0.500, 0.500) and Br at (0.000, 0.500, 0.500).

First-principles (PBE) data for an optimized crystal structure of KRb2HBr6, as listed in the Alexandria database.

The density of states at the Fermi level comes out at 24.75 states/eV/cell.

The structure belongs to space group I4/mmm (No. 139); the cell edges are 7.429, 7.429 and 13.836 Å and the angles 90.00°, 90.00° and 90.00°. Symmetry generates all atoms from K at (0.000, 0.000, 0.000), Rb at (0.000, 0.500, 0.250), H at (0.000, 0.000, 0.500), Br at (0.000, 0.000, 0.230) and Br at (0.203, 0.203, 0.500).

First-principles (PBE) data for an optimized crystal structure of K2HSBr, as listed in the Alexandria database.

The density of states at the Fermi level comes out at 0.00 states/eV/cell.

The structure belongs to space group P2_1/m (No. 11); the cell edges are 6.714, 4.839 and 9.199 Å and the angles 90.00°, 97.30° and 90.00°. Symmetry generates all atoms from K at (0.221, 0.250, 0.372), K at (0.262, 0.250, 0.891), H at (0.372, 0.750, 0.245), S at (0.232, 0.750, 0.126) and Br at (0.274, 0.750, 0.629).

First-principles (PBE) data for an optimized crystal structure of K2H2SBr2, as listed in the Alexandria database.

The structure belongs to space group C2/m (No. 12); the cell edges are 12.516, 4.089 and 8.813 Å and the angles 90.00°, 127.88° and 90.00°. Symmetry generates all atoms from K at (0.014, 0.000, 0.294), H at (0.143, 0.500, 0.139), S at (0.000, 0.500, 0.000) and Br at (0.198, 0.500, 0.689).

First-principles (PBE) data for an optimized crystal structure of KSbH2Br8, as listed in the Alexandria database.

The structure belongs to space group P-1 (No. 2); the cell edges are 7.080, 7.970 and 9.235 Å and the angles 109.98°, 91.95° and 112.08°. Symmetry generates all atoms from K at (0.000, 0.000, 0.000), Sb at (0.000, 0.000, 0.500), H at (0.408, 0.548, 0.785), Br at (0.092, 0.798, 0.247), Br at (0.162, 0.855, 0.657), Br at (0.362, 0.290, 0.552) and Br at (0.460, 0.720, 0.932).

First-principles (PBE) data for an optimized crystal structure of KHSeBr2, as listed in the Alexandria database.

The density of states at the Fermi level comes out at 4.39 states/eV/cell. Its distance to the lowest polymorph of the same formula is 0 meV/atom.

The structure belongs to space group P4/mmm (No. 123); the cell edges are 5.692, 5.692 and 3.641 Å and the angles 90.00°, 90.00° and 90.00°. Symmetry generates all atoms from K at (0.000, 0.000, 0.000), H at (0.500, 0.500, 0.500), Se at (0.500, 0.500, 0.000) and Br at (0.000, 0.500, 0.500).

First-principles (PBE) data for an optimized crystal structure of K2H2SeBr2, as listed in the Alexandria database.

The density of states at the Fermi level comes out at 0.07 states/eV/cell.

The structure belongs to space group C2/m (No. 12); the cell edges are 12.531, 4.062 and 9.114 Å and the angles 90.00°, 127.42° and 90.00°. Symmetry generates all atoms from K at (0.015, 0.000, 0.298), H at (0.156, 0.500, 0.155), Se at (0.000, 0.500, 0.000) and Br at (0.196, 0.500, 0.680).

First-principles (PBE) data for an optimized crystal structure of KHSeBr2, as listed in the Alexandria database.

The density of states at the Fermi level comes out at 6.05 states/eV/cell. Its distance to the lowest polymorph of the same formula is 778 meV/atom.

The structure belongs to space group P4/mmm (No. 123); the cell edges are 6.307, 6.307 and 6.727 Å and the angles 90.00°, 90.00° and 90.00°. Symmetry generates all atoms from K at (0.000, 0.000, 0.000), H at (0.500, 0.500, 0.500), Se at (0.000, 0.000, 0.500) and Br at (0.000, 0.500, 0.000).

First-principles (PBE) data for an optimized crystal structure of K2SnHBr5, as listed in the Alexandria database.

The density of states at the Fermi level comes out at 0.00 states/eV/cell.

The structure belongs to space group Cmc2_1 (No. 36); the cell edges are 4.523, 19.580 and 13.523 Å and the angles 90.00°, 90.00° and 90.00°. Symmetry generates all atoms from K at (0.000, 0.126, 0.000), K at (0.000, 0.144, 0.663), Sn at (0.000, 0.176, 0.335), H at (0.000, 0.483, 0.706), Br at (0.000, 0.033, 0.344), Br at (0.000, 0.309, 0.986), Br at (0.000, 0.318, 0.680), Br at (0.000, 0.339, 0.334) and Br at (0.000, 0.491, 0.105).

First-principles (PBE) data for an optimized crystal structure of KSnH2Br8, as listed in the Alexandria database.

The density of states at the Fermi level comes out at 4.84 states/eV/cell.

The structure belongs to space group P-1 (No. 2); the cell edges are 6.611, 8.321 and 8.549 Å and the angles 69.01°, 80.22° and 78.02°. Symmetry generates all atoms from K at (0.000, 0.000, 0.000), Sn at (0.000, 0.500, 0.500), H at (0.433, 0.215, 0.248), Br at (0.011, 0.560, 0.180), Br at (0.183, 0.778, 0.437), Br at (0.339, 0.250, 0.519) and Br at (0.478, 0.189, 0.085).

First-principles (PBE) data for an optimized crystal structure of KSrH2Br, as listed in the Alexandria database.

The density of states at the Fermi level comes out at 0.00 states/eV/cell.

The structure belongs to space group P4/mmm (No. 123); the cell edges are 4.767, 4.767 and 6.166 Å and the angles 90.00°, 90.00° and 90.00°. Symmetry generates all atoms from K at (0.000, 0.000, 0.000), Sr at (0.500, 0.500, 0.500), H at (0.000, 0.500, 0.500) and Br at (0.500, 0.500, 0.000).

First-principles (PBE) data for an optimized crystal structure of K2SrHBr, as listed in the Alexandria database.

The density of states at the Fermi level comes out at 2.20 states/eV/cell.

The structure belongs to space group P4/mmm (No. 123); the cell edges are 5.052, 5.052 and 7.866 Å and the angles 90.00°, 90.00° and 90.00°. Symmetry generates all atoms from K at (0.000, 0.500, 0.000), Sr at (0.000, 0.000, 0.500), H at (0.500, 0.500, 0.000) and Br at (0.500, 0.500, 0.500).

no.,density (g/cm³),E (eV/atom)
1,2.30,-4.108
2,1.93,-2.279
3,1.72,-2.810
4,4.20,-4.827
5,2.57,-3.932
6,2.30,-3.916
7,2.41,-3.938
8,2.89,-3.931
9,3.36,-3.134
10,3.79,-3.081
11,4.75,-3.244
12,3.00,-2.363
13,2.14,-3.441
14,2.54,-3.034
15,2.99,-2.678
16,3.92,-2.546
17,2.88,-2.857
18,1.73,-1.767
19,3.31,-3.063
20,3.11,-2.669
21,2.47,-3.086
22,2.04,-2.183